# CoAsP2O

A geometry-optimized CoAsP2O structure (PBE+U, Alexandria via LeMat-Bulk).

The structure in POSCAR format:
```
CoAsP2O
1.0
4.8356 0.0000 0.0000
0.0000 4.8356 0.0000
0.0000 0.0000 3.5697
P Co As O
2 1 1 1
direct
0.0000 0.5000 0.0000
0.5000 0.0000 0.0000
0.5000 0.5000 0.5000
0.0000 0.0000 0.0000
0.0000 0.0000 0.5000
```

- density of states at the Fermi level (states/eV per atom) = 0.54
- polymorph energy (0 for the lowest one) (kJ/mol of atoms) = 33.1
- energy (eV per atom) = -4.470
- volume (Å³/cell) = 83.5
- calculated density (g/cm³) = 4.21
- total magnetic moment (μB per formula unit) = 2.1